Entry from Alexandria: a geometry-optimized Zr2PS structure (PBE-GGA).

The value obtained for the uncorrected formation energy is -836 meV/atom. Its space-group type is I-42d (122). The calculated total energy is -7.4941 eV per atom. The value obtained for the energy above the most stable polymorph in this dataset is 224.6 kJ/mol of formula units. The calculation puts the magnetic moment at 0.000 μB/f.u. The density of states at the Fermi level comes out at 3.30 states/eV/f.u.

a = 5.803 Å, b = 5.803 Å, c = 7.122 Å
α = 65.96°, β = 65.96°, γ = 90.00°
Positions (direct):
1 S 0.000 0.000 0.000
2 S 0.750 0.250 0.500
3 Zr 0.625 0.125 0.250
4 Zr 0.125 0.625 0.250
5 Zr 0.875 0.875 0.750
6 Zr 0.375 0.375 0.750
7 P 0.500 0.500 0.000
8 P 0.250 0.750 0.500